# YMn2SO | Alexandria | PBE with a Hubbard U | optimized geometry
# Total moment: 8.09 μB per formula unit
# Theoretical density: 4.09 g/cm³
# Raw total energy: -6.93 eV/atom
data_YMn2SO
_chemical_formula_sum 'Y1 Mn2 S1 O1'
_symmetry_space_group_name_H-M 'P 4/m m m'
_symmetry_Int_Tables_number 123
_symmetry_space_group_name_Hall '-P 4 2'
_cell_length_a 3.951
_cell_length_b 3.951
_cell_length_c 6.425
_cell_angle_alpha 90.00
_cell_angle_beta 90.00
_cell_angle_gamma 90.00
loop_
_atom_site_label
_atom_site_fract_x
_atom_site_fract_y
_atom_site_fract_z
Y1 0.000 0.000 0.000
Mn1 0.000 0.500 0.500
S1 0.500 0.500 0.000
O1 0.500 0.500 0.500